A geometry-optimized LiTb6Se5 structure, computed with PBE.

a = 6.859 Å, b = 6.859 Å, c = 14.364 Å
α = 90.00°, β = 90.00°, γ = 120.00°
Element x y z (fractional)
Li  0.000  0.000  0.250
Li  0.000  0.000  0.750
Tb  0.000  0.328  0.115
Tb  0.000  0.328  0.385
Tb  0.000  0.672  0.615
Tb  0.000  0.672  0.885
Tb  0.328  0.000  0.115
Tb  0.328  0.000  0.385
Tb  0.328  0.328  0.615
Tb  0.328  0.328  0.885
Tb  0.672  0.000  0.615
Tb  0.672  0.000  0.885
Tb  0.672  0.672  0.115
Tb  0.672  0.672  0.385
Se  0.000  0.347  0.750
Se  0.000  0.653  0.250
Se  0.333  0.667  0.000
Se  0.333  0.667  0.500
Se  0.347  0.000  0.750
Se  0.347  0.347  0.250
Se  0.653  0.000  0.250
Se  0.653  0.653  0.750
Se  0.667  0.333  0.000
Se  0.667  0.333  0.500

Results
- DFT total energy: -5.330 eV per atom
- Formation energy (no corrections): -1.404 eV/atom
- Size of the total moment: 0.00 μB/f.u.


A geometry-optimized LiTbSe2 structure, computed with PBE.

a = 5.715 Å, b = 5.715 Å, c = 11.635 Å
α = 90.00°, β = 90.00°, γ = 90.00°
Element x y z (fractional)
Li  0.000  0.250  0.375
Li  0.000  0.750  0.625
Li  0.500  0.250  0.125
Li  0.500  0.750  0.875
Tb  0.000  0.250  0.875
Tb  0.000  0.750  0.125
Tb  0.500  0.250  0.625
Tb  0.500  0.750  0.375
Se  0.000  0.250  0.122
Se  0.000  0.250  0.628
Se  0.000  0.750  0.372
Se  0.000  0.750  0.878
Se  0.500  0.250  0.378
Se  0.500  0.250  0.872
Se  0.500  0.750  0.128
Se  0.500  0.750  0.622

Results
- DFT total energy: -5.060 eV per atom
- Formation energy (no corrections): -1.681 eV/atom
- Size of the total moment: 0.00 μB/f.u.


A geometry-optimized Li3Tb2Se4 structure, computed with PBE.

a = 4.053 Å, b = 4.053 Å, c = 15.265 Å
α = 90.08°, β = 90.08°, γ = 59.99°
Element x y z (fractional)
Li  0.000  0.000  0.000
Li  0.335  0.335  0.395
Li  0.665  0.665  0.605
Tb  0.332  0.332  0.789
Tb  0.668  0.668  0.211
Se  0.002  0.002  0.328
Se  0.334  0.334  0.104
Se  0.666  0.666  0.896
Se  0.998  0.998  0.672

Results
- DFT total energy: -4.703 eV per atom
- Formation energy (no corrections): -1.487 eV/atom
- Size of the total moment: 0.56 μB/f.u.


Question: Among the records above, which one has the highest formation energy (no corrections)?
Answer: LiTb6Se5


Question: What is the formula in the first record?
Answer: LiTb6Se5